a:
ReAuI2N | PBE | optimized geometry

```
ReAuI2N
1.0
5.571 0.000 0.000
0.000 5.571 0.000
0.000 0.000 3.770
Re Au I N
1 1 2 1
direct
0.000 0.000 0.000
0.500 0.500 0.500
0.000 0.500 0.000
0.500 0.000 0.000
0.000 0.000 0.500
```

Properties
Density, g/cm3: 9.2
Density of states at the Fermi level, states/eV/cell: 2.67
Space group: P4/mmm



b:
ReAuI2N | PBE | optimized geometry

```
ReAuI2N
1.0
6.058 0.000 0.000
0.000 6.058 0.000
0.000 0.000 3.758
Re Au I N
1 1 2 1
direct
0.000 0.000 0.000
0.500 0.500 0.500
0.000 0.500 0.500
0.500 0.000 0.500
0.500 0.500 0.000
```

Properties
Density, g/cm3: 7.8
Density of states at the Fermi level, states/eV/cell: 3.61
Space group: P4/mmm



It is a that is the most stable of them.



a:
RuAuIN2 | PBE | optimized geometry

```
RuAuIN2
1.0
3.868 0.000 0.000
0.000 3.868 0.000
0.000 0.000 7.873
Ru Au I N
1 1 1 2
direct
0.000 0.000 0.000
0.500 0.500 0.500
0.500 0.500 0.000
0.000 0.500 0.500
0.500 0.000 0.500
```

Properties
Density, g/cm3: 6.4
Density of states at the Fermi level, states/eV/cell: 7.75
Space group: P4/mmm



b:
RuAuIN2 | PBE | optimized geometry

```
RuAuIN2
1.0
3.874 0.000 0.000
0.000 3.874 0.000
0.000 0.000 6.017
Ru Au I N
1 1 1 2
direct
0.000 0.000 0.000
0.500 0.500 0.500
0.000 0.000 0.500
0.000 0.500 0.000
0.500 0.000 0.000
```

Properties
Density, g/cm3: 8.3
Density of states at the Fermi level, states/eV/cell: 3.79
Space group: P4/mmm



It is b that is the most stable of them.



a:
AuSI2N | PBE | optimized geometry

```
AuSI2N
1.0
6.279 0.000 0.000
0.000 6.279 0.000
0.000 0.000 3.272
Au S I N
1 1 2 1
direct
0.000 0.000 0.000
0.500 0.500 0.500
0.000 0.500 0.500
0.500 0.000 0.500
0.500 0.500 0.000
```

Properties
Density, g/cm3: 6.4
Density of states at the Fermi level, states/eV/cell: 3.67
Space group: P4/mmm



b:
AuSI2N | PBE | optimized geometry

```
AuSI2N
1.0
5.930 0.000 0.000
0.000 5.930 0.000
0.000 0.000 3.782
Au S I N
1 1 2 1
direct
0.000 0.000 0.000
0.500 0.500 0.500
0.000 0.500 0.000
0.500 0.000 0.000
0.000 0.000 0.500
```

Properties
Density, g/cm3: 6.2
Density of states at the Fermi level, states/eV/cell: 6.70
Space group: P4/mmm



It is a that is the most stable of them.



a:
SbAuI2N | PBE | optimized geometry

```
SbAuI2N
1.0
5.563 0.000 0.000
0.000 5.563 0.000
0.000 0.000 5.485
Sb Au I N
1 1 2 1
direct
0.000 0.000 0.000
0.000 0.000 0.500
0.000 0.500 0.500
0.500 0.000 0.500
0.500 0.500 0.000
```

Properties
Density, g/cm3: 5.7
Density of states at the Fermi level, states/eV/cell: 7.72
Space group: P4/mmm



b:
SbAuI2N | PBE | optimized geometry

```
SbAuI2N
1.0
6.097 0.000 0.000
0.000 6.097 0.000
0.000 0.000 3.943
Sb Au I N
1 1 2 1
direct
0.000 0.000 0.000
0.500 0.500 0.500
0.000 0.500 0.000
0.500 0.000 0.000
0.000 0.000 0.500
```

Properties
Density, g/cm3: 6.6
Density of states at the Fermi level, states/eV/cell: 1.69
Space group: P4/mmm



It is b that is the most stable of them.



a:
SbAuI2N | PBE | optimized geometry

```
SbAuI2N
1.0
6.100 0.000 0.000
0.000 6.100 0.000
0.000 0.000 3.783
Sb Au I N
1 1 2 1
direct
0.000 0.000 0.000
0.500 0.500 0.500
0.000 0.500 0.500
0.500 0.000 0.500
0.500 0.500 0.000
```

Properties
Density, g/cm3: 6.9
Density of states at the Fermi level, states/eV/cell: 4.89
Space group: P4/mmm



b:
SbAuI2N | PBE | optimized geometry

```
SbAuI2N
1.0
4.851 0.000 0.000
0.000 4.851 0.000
0.000 0.000 5.059
Sb Au I N
1 1 2 1
direct
0.000 0.000 0.000
0.500 0.500 0.000
0.000 0.500 0.500
0.500 0.000 0.500
0.000 0.000 0.500
```

Properties
Density, g/cm3: 8.2
Density of states at the Fermi level, states/eV/cell: 4.41
Space group: P4/mmm



It is a that is the most stable of them.



a:
ScAuIN2 | PBE | optimized geometry

```
ScAuIN2
1.0
4.101 0.000 0.000
0.000 4.101 0.000
0.000 0.000 6.583
Sc Au I N
1 1 1 2
direct
0.000 0.000 0.000
0.500 0.500 0.500
0.000 0.000 0.500
0.000 0.500 0.000
0.500 0.000 0.000
```

Properties
Density, g/cm3: 6.0
Density of states at the Fermi level, states/eV/cell: 1.91
Space group: P4/mmm



b:
ScAuIN2 | PBE | optimized geometry

```
ScAuIN2
1.0
4.094 0.000 0.000
0.000 4.094 0.000
0.000 0.000 6.353
Sc Au I N
1 1 1 2
direct
0.000 0.000 0.000
0.500 0.500 0.500
0.500 0.500 0.000
0.000 0.500 0.500
0.500 0.000 0.500
```

Properties
Density, g/cm3: 6.2
Density of states at the Fermi level, states/eV/cell: 4.07
Space group: P4/mmm



It is a that is the most stable of them.



a:
ScAuI2N | PBE | optimized geometry

```
ScAuI2N
1.0
6.104 0.000 0.000
0.000 6.104 0.000
0.000 0.000 3.769
Sc Au I N
1 1 2 1
direct
0.000 0.000 0.000
0.500 0.500 0.500
0.000 0.500 0.500
0.500 0.000 0.500
0.500 0.500 0.000
```

Properties
Density, g/cm3: 6.0
Density of states at the Fermi level, states/eV/cell: 6.18
Space group: P4/mmm



b:
ScAuI2N | PBE | optimized geometry

```
ScAuI2N
1.0
5.853 0.000 0.000
0.000 5.853 0.000
0.000 0.000 4.002
Sc Au I N
1 1 2 1
direct
0.000 0.000 0.000
0.500 0.500 0.500
0.000 0.500 0.000
0.500 0.000 0.000
0.000 0.000 0.500
```

Properties
Density, g/cm3: 6.2
Density of states at the Fermi level, states/eV/cell: 2.42
Space group: P4/mmm



It is b that is the most stable of them.



a:
SiAuI2N | PBE | optimized geometry

```
SiAuI2N
1.0
5.936 0.000 0.000
0.000 5.936 0.000
0.000 0.000 3.277
Si Au I N
1 1 2 1
direct
0.000 0.000 0.000
0.500 0.500 0.500
0.000 0.500 0.000
0.500 0.000 0.000
0.000 0.000 0.500
```

Properties
Density, g/cm3: 7.1
Density of states at the Fermi level, states/eV/cell: 0.95
Space group: P4/mmm



b:
SiAuI2N | PBE | optimized geometry

```
SiAuI2N
1.0
6.024 0.000 0.000
0.000 6.024 0.000
0.000 0.000 3.788
Si Au I N
1 1 2 1
direct
0.000 0.000 0.000
0.500 0.500 0.500
0.000 0.500 0.500
0.500 0.000 0.500
0.500 0.500 0.000
```

Properties
Density, g/cm3: 6.0
Density of states at the Fermi level, states/eV/cell: 4.33
Space group: P4/mmm



It is a that is the most stable of them.



a:
SnAuIN2 | PBE | optimized geometry

```
SnAuIN2
1.0
4.041 0.000 0.000
0.000 4.041 0.000
0.000 0.000 7.515
Sn Au I N
1 1 1 2
direct
0.000 0.000 0.000
0.500 0.500 0.500
0.000 0.000 0.500
0.000 0.500 0.000
0.500 0.000 0.000
```

Properties
Density, g/cm3: 6.4
Density of states at the Fermi level, states/eV/cell: 4.74
Space group: P4/mmm



b:
SnAuIN2 | PBE | optimized geometry

```
SnAuIN2
1.0
4.277 0.000 0.000
0.000 4.277 0.000
0.000 0.000 6.655
Sn Au I N
1 1 1 2
direct
0.000 0.000 0.000
0.500 0.500 0.500
0.500 0.500 0.000
0.000 0.500 0.500
0.500 0.000 0.500
```

Properties
Density, g/cm3: 6.4
Density of states at the Fermi level, states/eV/cell: 1.06
Space group: P4/mmm



It is a that is the most stable of them.



a:
TeAuIN2 | PBE | optimized geometry

```
TeAuIN2
1.0
4.198 0.000 0.000
0.000 4.198 0.000
0.000 0.000 8.225
Te Au I N
1 1 1 2
direct
0.000 0.000 0.000
0.500 0.500 0.500
0.500 0.500 0.000
0.000 0.500 0.500
0.500 0.000 0.500
```

Properties
Density, g/cm3: 5.5
Density of states at the Fermi level, states/eV/cell: 3.30
Space group: P4/mmm



b:
TeAuIN2 | PBE | optimized geometry

```
TeAuIN2
1.0
4.350 0.000 0.000
0.000 4.350 0.000
0.000 0.000 6.055
Te Au I N
1 1 1 2
direct
0.000 0.000 0.000
0.000 0.000 0.500
0.500 0.500 0.000
0.000 0.500 0.500
0.500 0.000 0.500
```

Properties
Density, g/cm3: 7.0
Density of states at the Fermi level, states/eV/cell: 1.77
Space group: P4/mmm



c:
TeAuIN2 | PBE | optimized geometry

```
TeAuIN2
1.0
4.016 0.000 0.000
0.000 4.016 0.000
0.000 0.000 8.205
Te Au I N
1 1 1 2
direct
0.000 0.000 0.000
0.500 0.500 0.500
0.000 0.000 0.500
0.000 0.500 0.000
0.500 0.000 0.000
```

Properties
Density, g/cm3: 6.0
Density of states at the Fermi level, states/eV/cell: 2.53
Space group: P4/mmm



It is c that is the most stable of them.



a:
Te2AuIN | PBE | optimized geometry

```
Te2AuIN
1.0
5.990 0.000 0.000
0.000 5.990 0.000
0.000 0.000 3.881
Te Au I N
2 1 1 1
direct
0.000 0.500 0.000
0.500 0.000 0.000
0.000 0.000 0.500
0.500 0.500 0.000
0.500 0.500 0.500
```

Properties
Density, g/cm3: 7.1
Density of states at the Fermi level, states/eV/cell: 3.52
Space group: P4/mmm



b:
Te2AuIN | PBE | optimized geometry

```
Te2AuIN
1.0
4.892 0.000 0.000
0.000 4.892 0.000
0.000 0.000 4.801
Te Au I N
2 1 1 1
direct
0.000 0.500 0.000
0.500 0.000 0.000
0.000 0.000 0.500
0.500 0.500 0.500
0.500 0.500 0.000
```

Properties
Density, g/cm3: 8.6
Density of states at the Fermi level, states/eV/cell: 5.15
Space group: P4/mmm



It is b that is the most stable of them.



a:
Te2AuIN | PBE | optimized geometry

```
Te2AuIN
1.0
5.461 0.000 0.000
0.000 5.461 0.000
0.000 0.000 5.481
Te Au I N
2 1 1 1
direct
0.000 0.500 0.000
0.500 0.000 0.000
0.000 0.000 0.000
0.000 0.000 0.500
0.500 0.500 0.500
```

Properties
Density, g/cm3: 6.0
Density of states at the Fermi level, states/eV/cell: 10.51
Space group: P4/mmm



b:
Te2AuIN | PBE | optimized geometry

```
Te2AuIN
1.0
5.961 0.000 0.000
0.000 5.961 0.000
0.000 0.000 3.770
Te Au I N
2 1 1 1
direct
0.000 0.500 0.000
0.500 0.000 0.000
0.000 0.000 0.000
0.500 0.500 0.500
0.000 0.000 0.500
```

Properties
Density, g/cm3: 7.4
Density of states at the Fermi level, states/eV/cell: 4.35
Space group: P4/mmm



It is b that is the most stable of them.